# PBE-GGA LuFeSiPt, relaxed
data_LuFeSiPt
_symmetry_space_group_name_H-M 'F -4 3 m'
_symmetry_Int_Tables_number 216
_symmetry_space_group_name_Hall 'F -4 2 3'
_cell_length_a 6.2780
_cell_length_b 6.2780
_cell_length_c 6.2780
_cell_angle_alpha 90.00
_cell_angle_beta 90.00
_cell_angle_gamma 90.00
loop_
_atom_site_label
_atom_site_fract_x
_atom_site_fract_y
_atom_site_fract_z
Lu1 0.0000 0.0000 0.0000
Fe1 0.2500 0.2500 0.7500
Si1 0.0000 0.0000 0.5000
Pt1 0.2500 0.2500 0.2500
# Energy   -104.8 eV for the cell shown
# Theoretical density   12187 kg/m³
# E above lowest polymorph   0.00 eV per formula unit

=====

# PBE-GGA Na3PmAg, relaxed
data_Na3PmAg
_symmetry_space_group_name_H-M 'P 63/m m c'
_symmetry_Int_Tables_number 194
_symmetry_space_group_name_Hall '-P 6c 2c'
_cell_length_a 9.2829
_cell_length_b 9.2829
_cell_length_c 5.9239
_cell_angle_alpha 90.00
_cell_angle_beta 90.00
_cell_angle_gamma 120.00
loop_
_atom_site_label
_atom_site_fract_x
_atom_site_fract_y
_atom_site_fract_z
Na1 0.0942 0.5471 0.2500
Pm1 0.3333 0.6667 0.7500
Ag1 0.0000 0.0000 0.2500
# Energy   -15.1 eV for the cell shown
# Theoretical density   2418 kg/m³

=====

# PBE-GGA YMgGeIr, relaxed
data_YMgGeIr
_symmetry_space_group_name_H-M 'F -4 3 m'
_symmetry_Int_Tables_number 216
_symmetry_space_group_name_Hall 'F -4 2 3'
_cell_length_a 6.6036
_cell_length_b 6.6036
_cell_length_c 6.6036
_cell_angle_alpha 90.00
_cell_angle_beta 90.00
_cell_angle_gamma 90.00
loop_
_atom_site_label
_atom_site_fract_x
_atom_site_fract_y
_atom_site_fract_z
Y1 0.0000 0.0000 0.0000
Mg1 0.2500 0.2500 0.7500
Ge1 0.2500 0.2500 0.2500
Ir1 0.0000 0.0000 0.5000
# Energy   -92.7 eV for the cell shown
# Theoretical density   8720 kg/m³
# E above lowest polymorph   0.16 eV per formula unit

=====

# PBE-GGA Lu2FeSi, relaxed
data_Lu2FeSi
_symmetry_space_group_name_H-M 'F -4 3 m'
_symmetry_Int_Tables_number 216
_symmetry_space_group_name_Hall 'F -4 2 3'
_cell_length_a 6.5060
_cell_length_b 6.5060
_cell_length_c 6.5060
_cell_angle_alpha 90.00
_cell_angle_beta 90.00
_cell_angle_gamma 90.00
loop_
_atom_site_label
_atom_site_fract_x
_atom_site_fract_y
_atom_site_fract_z
Lu1 0.0000 0.0000 0.0000
Lu2 0.2500 0.2500 0.2500
Fe1 0.2500 0.2500 0.7500
Si1 0.0000 0.0000 0.5000
# Energy   -91.3 eV for the cell shown
# Theoretical density   10465 kg/m³

=====

# PBE-GGA ZrMoAs, relaxed
data_ZrMoAs
_symmetry_space_group_name_H-M 'F -4 3 m'
_symmetry_Int_Tables_number 216
_symmetry_space_group_name_Hall 'F -4 2 3'
_cell_length_a 6.1633
_cell_length_b 6.1633
_cell_length_c 6.1633
_cell_angle_alpha 90.00
_cell_angle_beta 90.00
_cell_angle_gamma 90.00
loop_
_atom_site_label
_atom_site_fract_x
_atom_site_fract_y
_atom_site_fract_z
Zr1 0.0000 0.0000 0.0000
Mo1 0.0000 0.0000 0.5000
As1 0.2500 0.2500 0.7500
# Energy   -97.0 eV for the cell shown
# Theoretical density   7436 kg/m³

=====

# PBE-GGA ZrCoSb2, relaxed
data_ZrCoSb2
_symmetry_space_group_name_H-M 'F -4 3 m'
_symmetry_Int_Tables_number 216
_symmetry_space_group_name_Hall 'F -4 2 3'
_cell_length_a 6.9140
_cell_length_b 6.9140
_cell_length_c 6.9140
_cell_angle_alpha 90.00
_cell_angle_beta 90.00
_cell_angle_gamma 90.00
loop_
_atom_site_label
_atom_site_fract_x
_atom_site_fract_y
_atom_site_fract_z
Zr1 0.0000 0.0000 0.0000
Co1 0.2500 0.2500 0.2500
Sb1 0.0000 0.0000 0.5000
Sb2 0.2500 0.2500 0.7500
# Energy   -91.7 eV for the cell shown
# Theoretical density   7912 kg/m³